1.
The following is a DFT calculation (PBE) of a geometry-optimized Zr4In3Mo2N3 structure.

a b c (Å): 5.6523 5.6523 14.7362
angles (deg): 100.98 100.98 59.97
With the nearest neighbours (Å) after each atom.
Sites, in units of the cell vectors:
Zr  0.0195  0.2037  0.0852  3 N 2.23-2.24
Zr  0.1472  0.3042  0.4149  3 N 2.22-2.24
Zr  0.2037  0.0195  0.5852  3 N 2.23-2.24
Zr  0.3042  0.1472  0.9149  3 N 2.22-2.24
Zr  0.6958  0.8528  0.0851  3 N 2.22-2.24
Zr  0.7963  0.9805  0.4148  3 N 2.23-2.24
Zr  0.8528  0.6958  0.5851  3 N 2.22-2.24
Zr  0.9805  0.7963  0.9148  3 N 2.23-2.24
In  0.1051  0.8949  0.2500  4 In 3.03-3.38, 2 Mo 3.07, 4 Zr 3.08
In  0.2757  0.4144  0.7479  2 Mo 3.01-3.04, 2 In 3.02-3.03, 4 Zr 3.06-3.08
In  0.4144  0.2757  0.2479  2 Mo 3.01-3.04, 2 In 3.02-3.03, 4 Zr 3.06-3.08
In  0.5856  0.7243  0.7521  2 Mo 3.01-3.04, 2 In 3.02-3.03, 4 Zr 3.06-3.08
In  0.7243  0.5856  0.2521  2 Mo 3.01-3.04, 2 In 3.02-3.03, 4 Zr 3.06-3.08
In  0.8949  0.1051  0.7500  4 In 3.03-3.38, 2 Mo 3.07, 4 Zr 3.08
Mo  0.3747  0.5258  0.0770  3 N 2.20-2.26
Mo  0.4742  0.6253  0.4230  3 N 2.20-2.26
Mo  0.5258  0.3747  0.5770  3 N 2.20-2.26
Mo  0.6253  0.4742  0.9230  3 N 2.20-2.26
N  0.0000  0.5000  0.0000  4 Zr 2.22-2.23, 2 Mo 2.26
N  0.1533  0.6730  0.4999  2 Mo 2.20, 4 Zr 2.23-2.24
N  0.3270  0.8467  0.0001  2 Mo 2.20, 4 Zr 2.23-2.24
N  0.5000  0.0000  0.5000  4 Zr 2.22-2.23, 2 Mo 2.26
N  0.6730  0.1533  0.9999  2 Mo 2.20, 4 Zr 2.23-2.24
N  0.8467  0.3270  0.5001  2 Mo 2.20, 4 Zr 2.23-2.24

Output
E_tot   -8.1495 eV/atom
Symmetry   No. 15


2.
The following is a DFT calculation (PBE) of a geometry-optimized NaInMoOs structure.

a b c (Å): 6.4761 6.4761 6.4761
angles (deg): 90.00 90.00 90.00
With the nearest neighbours (Å) after each atom.
Sites, in units of the cell vectors:
Na  0.0000  0.0000  0.0000  4 In 2.80, 4 Os 2.80
Na  0.0000  0.5000  0.5000  4 In 2.80, 4 Os 2.80
Na  0.5000  0.0000  0.5000  4 In 2.80, 4 Os 2.80
Na  0.5000  0.5000  0.0000  4 In 2.80, 4 Os 2.80
In  0.2500  0.2500  0.7500  4 Mo 2.80, 4 Na 2.80
In  0.2500  0.7500  0.2500  4 Mo 2.80, 4 Na 2.80
In  0.7500  0.2500  0.2500  4 Mo 2.80, 4 Na 2.80
In  0.7500  0.7500  0.7500  4 Mo 2.80, 4 Na 2.80
Mo  0.0000  0.0000  0.5000  4 In 2.80, 4 Os 2.80
Mo  0.0000  0.5000  0.0000  4 In 2.80, 4 Os 2.80
Mo  0.5000  0.0000  0.0000  4 In 2.80, 4 Os 2.80
Mo  0.5000  0.5000  0.5000  4 In 2.80, 4 Os 2.80
Os  0.2500  0.2500  0.2500  4 Mo 2.80, 4 Na 2.80
Os  0.2500  0.7500  0.7500  4 Mo 2.80, 4 Na 2.80
Os  0.7500  0.2500  0.7500  4 Mo 2.80, 4 Na 2.80
Os  0.7500  0.7500  0.2500  4 Mo 2.80, 4 Na 2.80

Output
Energy above the lowest structure with this stoichiometry   141 meV/atom
Symmetry   No. 216


3.
The following is a DFT calculation (PBE) of a geometry-optimized NaInMoOs structure.

a b c (Å): 6.4902 6.4902 6.4902
angles (deg): 90.00 90.00 90.00
With the nearest neighbours (Å) after each atom.
Sites, in units of the cell vectors:
Na  0.0000  0.0000  0.0000  4 In 2.81, 4 Mo 2.81
Na  0.0000  0.5000  0.5000  4 Mo 2.81, 4 In 2.81
Na  0.5000  0.0000  0.5000  4 Mo 2.81, 4 In 2.81
Na  0.5000  0.5000  0.0000  4 Mo 2.81, 4 In 2.81
In  0.2500  0.2500  0.2500  4 Na 2.81, 4 Os 2.81
In  0.2500  0.7500  0.7500  4 Na 2.81, 4 Os 2.81
In  0.7500  0.2500  0.7500  4 Na 2.81, 4 Os 2.81
In  0.7500  0.7500  0.2500  4 Na 2.81, 4 Os 2.81
Mo  0.2500  0.2500  0.7500  4 Na 2.81, 4 Os 2.81
Mo  0.2500  0.7500  0.2500  4 Na 2.81, 4 Os 2.81
Mo  0.7500  0.2500  0.2500  4 Na 2.81, 4 Os 2.81
Mo  0.7500  0.7500  0.7500  4 Na 2.81, 4 Os 2.81
Os  0.0000  0.0000  0.5000  4 In 2.81, 4 Mo 2.81
Os  0.0000  0.5000  0.0000  4 In 2.81, 4 Mo 2.81
Os  0.5000  0.0000  0.0000  4 In 2.81, 4 Mo 2.81
Os  0.5000  0.5000  0.5000  4 In 2.81, 4 Mo 2.81

Output
Energy above the lowest structure with this stoichiometry   0 meV/atom
Symmetry   No. 216


4.
The following is a DFT calculation (PBE) of a geometry-optimized NbInMo structure.

a b c (Å): 6.4014 6.4014 6.4014
angles (deg): 90.00 90.00 90.00
With the nearest neighbours (Å) after each atom.
Sites, in units of the cell vectors:
Nb  0.0000  0.0000  0.0000  4 Mo 2.77
Nb  0.0000  0.5000  0.5000  4 Mo 2.77
Nb  0.5000  0.0000  0.5000  4 Mo 2.77
Nb  0.5000  0.5000  0.0000  4 Mo 2.77
In  0.0000  0.0000  0.5000  4 Mo 2.77
In  0.0000  0.5000  0.0000  4 Mo 2.77
In  0.5000  0.0000  0.0000  4 Mo 2.77
In  0.5000  0.5000  0.5000  4 Mo 2.77
Mo  0.2500  0.2500  0.7500  4 In 2.77, 4 Nb 2.77
Mo  0.2500  0.7500  0.2500  4 In 2.77, 4 Nb 2.77
Mo  0.7500  0.2500  0.2500  4 In 2.77, 4 Nb 2.77
Mo  0.7500  0.7500  0.7500  4 In 2.77, 4 Nb 2.77

Output
Energy above the lowest structure with this stoichiometry   0 meV/atom
Symmetry   No. 216


5.
The following is a DFT calculation (PBE) of a geometry-optimized Nb2InMo structure.

a b c (Å): 6.6296 6.6296 6.6296
angles (deg): 90.00 90.00 90.00
With the nearest neighbours (Å) after each atom.
Sites, in units of the cell vectors:
Nb  0.0000  0.0000  0.0000  4 Nb 2.87, 4 Mo 2.87
Nb  0.0000  0.5000  0.5000  4 Nb 2.87, 4 Mo 2.87
Nb  0.2500  0.2500  0.2500  4 In 2.87, 4 Nb 2.87
Nb  0.2500  0.7500  0.7500  4 In 2.87, 4 Nb 2.87
Nb  0.5000  0.0000  0.5000  4 Nb 2.87, 4 Mo 2.87
Nb  0.5000  0.5000  0.0000  4 Nb 2.87, 4 Mo 2.87
Nb  0.7500  0.2500  0.7500  4 In 2.87, 4 Nb 2.87
Nb  0.7500  0.7500  0.2500  4 In 2.87, 4 Nb 2.87
In  0.0000  0.0000  0.5000  4 Nb 2.87, 4 Mo 2.87
In  0.0000  0.5000  0.0000  4 Nb 2.87, 4 Mo 2.87
In  0.5000  0.0000  0.0000  4 Nb 2.87, 4 Mo 2.87
In  0.5000  0.5000  0.5000  4 Nb 2.87, 4 Mo 2.87
Mo  0.2500  0.2500  0.7500  4 In 2.87, 4 Nb 2.87
Mo  0.2500  0.7500  0.2500  4 In 2.87, 4 Nb 2.87
Mo  0.7500  0.2500  0.2500  4 In 2.87, 4 Nb 2.87
Mo  0.7500  0.7500  0.7500  4 In 2.87, 4 Nb 2.87

Output
E_tot   -8.2345 eV/atom
Symmetry   No. 216


6.
The following is a DFT calculation (PBE) of a geometry-optimized InNiMoPt structure.

a b c (Å): 6.3276 6.3276 6.3276
angles (deg): 90.00 90.00 90.00
With the nearest neighbours (Å) after each atom.
Sites, in units of the cell vectors:
In  0.0000  0.0000  0.0000  4 Ni 2.74, 4 Pt 2.74
In  0.0000  0.5000  0.5000  4 Ni 2.74, 4 Pt 2.74
In  0.5000  0.0000  0.5000  4 Ni 2.74, 4 Pt 2.74
In  0.5000  0.5000  0.0000  4 Ni 2.74, 4 Pt 2.74
Ni  0.2500  0.2500  0.2500  4 In 2.74, 4 Mo 2.74
Ni  0.2500  0.7500  0.7500  4 In 2.74, 4 Mo 2.74
Ni  0.7500  0.2500  0.7500  4 In 2.74, 4 Mo 2.74
Ni  0.7500  0.7500  0.2500  4 In 2.74, 4 Mo 2.74
Mo  0.0000  0.0000  0.5000  4 Ni 2.74, 4 Pt 2.74
Mo  0.0000  0.5000  0.0000  4 Ni 2.74, 4 Pt 2.74
Mo  0.5000  0.0000  0.0000  4 Ni 2.74, 4 Pt 2.74
Mo  0.5000  0.5000  0.5000  4 Ni 2.74, 4 Pt 2.74
Pt  0.2500  0.2500  0.7500  4 In 2.74, 4 Mo 2.74
Pt  0.2500  0.7500  0.2500  4 In 2.74, 4 Mo 2.74
Pt  0.7500  0.2500  0.2500  4 In 2.74, 4 Mo 2.74
Pt  0.7500  0.7500  0.7500  4 In 2.74, 4 Mo 2.74

Output
Energy above the lowest structure with this stoichiometry   0 meV/atom
Symmetry   No. 216


7.
The following is a DFT calculation (PBE) of a geometry-optimized InNiMoPt structure.

a b c (Å): 6.3267 6.3267 6.3267
angles (deg): 90.00 90.00 90.00
With the nearest neighbours (Å) after each atom.
Sites, in units of the cell vectors:
In  0.0000  0.0000  0.0000  4 Mo 2.74, 4 Ni 2.74
In  0.0000  0.5000  0.5000  4 Mo 2.74, 4 Ni 2.74
In  0.5000  0.0000  0.5000  4 Mo 2.74, 4 Ni 2.74
In  0.5000  0.5000  0.0000  4 Mo 2.74, 4 Ni 2.74
Ni  0.2500  0.2500  0.2500  4 In 2.74, 4 Pt 2.74
Ni  0.2500  0.7500  0.7500  4 In 2.74, 4 Pt 2.74
Ni  0.7500  0.2500  0.7500  4 In 2.74, 4 Pt 2.74
Ni  0.7500  0.7500  0.2500  4 In 2.74, 4 Pt 2.74
Mo  0.2500  0.2500  0.7500  4 In 2.74, 4 Pt 2.74
Mo  0.2500  0.7500  0.2500  4 In 2.74, 4 Pt 2.74
Mo  0.7500  0.2500  0.2500  4 In 2.74, 4 Pt 2.74
Mo  0.7500  0.7500  0.7500  4 In 2.74, 4 Pt 2.74
Pt  0.0000  0.0000  0.5000  4 Mo 2.74, 4 Ni 2.74
Pt  0.0000  0.5000  0.0000  4 Mo 2.74, 4 Ni 2.74
Pt  0.5000  0.0000  0.0000  4 Mo 2.74, 4 Ni 2.74
Pt  0.5000  0.5000  0.5000  4 Mo 2.74, 4 Ni 2.74

Output
Energy above the lowest structure with this stoichiometry   28 meV/atom
Symmetry   No. 216


8.
The following is a DFT calculation (PBE) of a geometry-optimized InTcNiMo structure.

a b c (Å): 6.2683 6.2683 6.2683
angles (deg): 90.00 90.00 90.00
With the nearest neighbours (Å) after each atom.
Sites, in units of the cell vectors:
In  0.0000  0.0000  0.0000  4 Ni 2.71, 4 Tc 2.71
In  0.0000  0.5000  0.5000  4 Ni 2.71, 4 Tc 2.71
In  0.5000  0.0000  0.5000  4 Ni 2.71, 4 Tc 2.71
In  0.5000  0.5000  0.0000  4 Ni 2.71, 4 Tc 2.71
Tc  0.2500  0.2500  0.7500  4 In 2.71, 4 Mo 2.71
Tc  0.2500  0.7500  0.2500  4 In 2.71, 4 Mo 2.71
Tc  0.7500  0.2500  0.2500  4 In 2.71, 4 Mo 2.71
Tc  0.7500  0.7500  0.7500  4 In 2.71, 4 Mo 2.71
Ni  0.2500  0.2500  0.2500  4 In 2.71, 4 Mo 2.71
Ni  0.2500  0.7500  0.7500  4 In 2.71, 4 Mo 2.71
Ni  0.7500  0.2500  0.7500  4 In 2.71, 4 Mo 2.71
Ni  0.7500  0.7500  0.2500  4 In 2.71, 4 Mo 2.71
Mo  0.0000  0.0000  0.5000  4 Tc 2.71, 4 Ni 2.71
Mo  0.0000  0.5000  0.0000  4 Tc 2.71, 4 Ni 2.71
Mo  0.5000  0.0000  0.0000  4 Tc 2.71, 4 Ni 2.71
Mo  0.5000  0.5000  0.5000  4 Tc 2.71, 4 Ni 2.71

Output
Energy above the lowest structure with this stoichiometry   0 meV/atom
Symmetry   No. 216


9.
The following is a DFT calculation (PBE) of a geometry-optimized YInNiMo structure.

a b c (Å): 6.7451 6.7451 6.7451
angles (deg): 90.00 90.00 90.00
With the nearest neighbours (Å) after each atom.
Sites, in units of the cell vectors:
Y  0.0000  0.0000  0.0000  4 Ni 2.92, 4 Mo 2.92
Y  0.0000  0.5000  0.5000  4 Ni 2.92, 4 Mo 2.92
Y  0.5000  0.0000  0.5000  4 Ni 2.92, 4 Mo 2.92
Y  0.5000  0.5000  0.0000  4 Ni 2.92, 4 Mo 2.92
In  0.0000  0.0000  0.5000  4 Mo 2.92, 4 Ni 2.92
In  0.0000  0.5000  0.0000  4 Mo 2.92, 4 Ni 2.92
In  0.5000  0.0000  0.0000  4 Mo 2.92, 4 Ni 2.92
In  0.5000  0.5000  0.5000  4 Mo 2.92, 4 Ni 2.92
Ni  0.2500  0.2500  0.7500  4 In 2.92, 4 Y 2.92
Ni  0.2500  0.7500  0.2500  4 In 2.92, 4 Y 2.92
Ni  0.7500  0.2500  0.2500  4 In 2.92, 4 Y 2.92
Ni  0.7500  0.7500  0.7500  4 In 2.92, 4 Y 2.92
Mo  0.2500  0.2500  0.2500  4 Y 2.92, 4 In 2.92
Mo  0.2500  0.7500  0.7500  4 Y 2.92, 4 In 2.92
Mo  0.7500  0.2500  0.7500  4 Y 2.92, 4 In 2.92
Mo  0.7500  0.7500  0.2500  4 Y 2.92, 4 In 2.92

Output
E_tot   -6.1549 eV/atom
Symmetry   No. 216


10.
The following is a DFT calculation (PBE) of a geometry-optimized ZrInNiMo structure.

a b c (Å): 6.5455 6.5455 6.5455
angles (deg): 90.00 90.00 90.00
With the nearest neighbours (Å) after each atom.
Sites, in units of the cell vectors:
Zr  0.0000  0.0000  0.0000  4 Mo 2.83, 4 Ni 2.83
Zr  0.0000  0.5000  0.5000  4 Mo 2.83, 4 Ni 2.83
Zr  0.5000  0.0000  0.5000  4 Mo 2.83, 4 Ni 2.83
Zr  0.5000  0.5000  0.0000  4 Mo 2.83, 4 Ni 2.83
In  0.0000  0.0000  0.5000  4 Mo 2.83, 4 Ni 2.83
In  0.0000  0.5000  0.0000  4 Mo 2.83, 4 Ni 2.83
In  0.5000  0.0000  0.0000  4 Mo 2.83, 4 Ni 2.83
In  0.5000  0.5000  0.5000  4 Mo 2.83, 4 Ni 2.83
Ni  0.2500  0.2500  0.7500  4 Zr 2.83, 4 In 2.83
Ni  0.2500  0.7500  0.2500  4 Zr 2.83, 4 In 2.83
Ni  0.7500  0.2500  0.2500  4 Zr 2.83, 4 In 2.83
Ni  0.7500  0.7500  0.7500  4 Zr 2.83, 4 In 2.83
Mo  0.2500  0.2500  0.2500  4 Zr 2.83, 4 In 2.83
Mo  0.2500  0.7500  0.7500  4 Zr 2.83, 4 In 2.83
Mo  0.7500  0.2500  0.7500  4 Zr 2.83, 4 In 2.83
Mo  0.7500  0.7500  0.2500  4 Zr 2.83, 4 In 2.83

Output
E_tot   -6.8014 eV/atom
Symmetry   No. 216


no.,total magnetization (Bohr magnetons per cell)
1,0.008
2,0.019
3,0.006
4,0.035
5,0.350
6,2.672
7,0.000
8,2.116
9,8.036
10,3.742